VASP calculation (PBE) on a relaxed structure of LaNpScO6.

V in Å³/cell: 274.3
Magnetic moment in Bohr magnetons per cell: 2.00
Formation energy from raw total energies in kJ/mol of formula units: -2813
Crystal system: trigonal

Lattice parameters (Å, degrees): 5.575 5.575 10.189 90.00 90.00 120.00
Last column: magnetic moment on the atom in μB.
Element x y z (fractional)
O1 0.363 0.007 0.142  -0.03
La1 0.000 0.000 0.000  0.00
O2 0.993 0.356 0.142  -0.03
Sc1 0.333 0.667 0.250  0.00
O3 0.993 0.637 0.358  -0.03
O4 0.644 0.007 0.358  -0.03
O5 0.644 0.637 0.142  -0.03
Np1 0.333 0.667 0.750  1.21
O6 0.007 0.363 0.642  -0.03
O7 0.637 0.993 0.858  -0.03
La2 0.000 0.000 0.500  0.00
O8 0.007 0.644 0.858  -0.03
Sc2 0.667 0.333 0.750  0.00
O9 0.356 0.993 0.642  -0.03
Np2 0.667 0.333 0.250  1.21
O10 0.637 0.644 0.642  -0.03
O11 0.363 0.356 0.358  -0.03
O12 0.356 0.363 0.858  -0.03